The following is a DFT calculation (GGA-PBE) of an optimized crystal structure of LiLaThSe3.

abc: 4.0506 8.7949 8.9992
angles: 104.80 90.00 90.00
Positions (direct):
Se  0.7500  0.9034  0.1294
Th  0.2500  0.6508  0.1447
La  0.2500  0.1894  0.2281
Se  0.7500  0.4295  0.2048
Li  0.7500  0.9146  0.4114
Th  0.7500  0.3492  0.8553
Se  0.2500  0.5705  0.7952
La  0.7500  0.8106  0.7719
Se  0.2500  0.7881  0.4921
Li  0.2500  0.0854  0.5886
Se  0.2500  0.0966  0.8706
Se  0.7500  0.2119  0.5079

Output
Total moment = 0.00 μB per cell
V = 25.83 Å³ per atom
Energy relative to the elements, uncorrected = -1634 meV/atom